# 1
An optimized crystal structure of Hf2Sc3Tl3, computed with PBE.

## Properties
- M_tot (μB per formula unit) = 0.0
- space-group type = Immm, No. 71
- uncorrected energy (eV per cell) = -47.15

abc: 10.901 10.901 10.901
angles: 161.52 153.23 32.72
Fractional coordinates of all 8 atoms:
Hf1 0.250 0.250 0.000
Hf2 0.750 0.750 0.000
Sc1 0.000 0.000 0.000
Sc2 0.373 0.873 0.500
Sc3 0.627 0.127 0.500
Tl1 0.129 0.629 0.500
Tl2 0.500 0.500 0.000
Tl3 0.871 0.371 0.500



# 2
An optimized crystal structure of Sc3HgRh, computed with PBE.

## Properties
- ΔE to the lowest computed polymorph (meV/atom) = 0
- M_tot (μB per formula unit) = 0.0
- space-group type = Pm-3m, No. 221

abc: 4.996 4.996 4.996
angles: 90.00 90.00 90.00
Fractional coordinates of all 5 atoms:
Sc1 0.000 0.000 0.500
Sc2 0.000 0.500 0.000
Sc3 0.500 0.000 0.000
Hg1 0.500 0.500 0.500
Rh1 0.000 0.000 0.000



# 3
An optimized crystal structure of MgOsSe2, computed with PBE.

## Properties
- M_tot (μB per formula unit) = 0.0
- formation energy from raw total energies (meV/atom) = -10.6
- space-group type = I-42d, No. 122

abc: 7.279 7.279 7.279
angles: 134.63 134.63 66.11
Fractional coordinates of all 8 atoms:
Mg1 0.000 0.000 0.000
Mg2 0.750 0.250 0.500
Os1 0.250 0.750 0.500
Os2 0.500 0.500 0.000
Se1 0.155 0.625 0.030
Se2 0.375 0.405 0.530
Se3 0.595 0.125 0.970
Se4 0.875 0.845 0.470



# 4
An optimized crystal structure of AcHPt3, computed with PBE.

## Properties
- M_tot (μB per formula unit) = 0.0
- space-group type = Pm-3m, No. 221
- uncorrected energy (eV per cell) = -28.11

abc: 4.366 4.366 4.366
angles: 90.00 90.00 90.00
Fractional coordinates of all 5 atoms:
Ac1 0.000 0.000 0.000
H1 0.500 0.500 0.500
Pt1 0.000 0.500 0.500
Pt2 0.500 0.000 0.500
Pt3 0.500 0.500 0.000